No. 1
Below is an optimized crystal structure of BC, with properties calculated at the PBE level.

a = 2.618 Å, b = 4.498 Å, c = 6.924 Å
α = 94.47°, β = 90.00°, γ = 90.00°
Fractional coordinates of all 12 atoms:
B 0.000 0.909 0.217
B 0.000 0.016 0.954
B 0.500 0.501 0.234
B 0.500 0.855 0.370
B 0.000 0.683 0.627
B 0.000 0.271 0.357
C 0.500 0.506 0.003
C 0.500 0.859 0.595
C 0.000 0.332 0.593
C 0.500 0.195 0.900
C 0.000 0.685 0.978
C 0.500 0.187 0.673

Properties
The energy above the most stable polymorph in this dataset is 0.2364 eV per atom. Its density of states at the Fermi level is 0.84 states/eV per cell. Its formation energy is 387 meV/atom. Its space group is Pm.

---

No. 2
Below is an optimized crystal structure of B7C5, with properties calculated at the PBE level.

a = 4.760 Å, b = 4.638 Å, c = 5.565 Å
α = 106.98°, β = 108.83°, γ = 45.51°
Fractional coordinates of all 12 atoms:
B 0.325 0.283 0.135
B 0.297 0.696 0.310
B 0.003 0.982 0.005
B 0.592 0.155 0.428
B 0.321 0.365 0.708
B 0.856 0.441 0.567
B 0.649 0.706 0.286
C 0.022 0.997 0.523
C 0.277 0.743 0.738
C 0.589 0.055 0.912
C 0.661 0.667 0.833
C 0.907 0.410 0.056

Properties
The energy above the most stable polymorph in this dataset is 0.2298 eV per atom. Its density of states at the Fermi level is 1.95 states/eV per cell. Its formation energy is 394 meV/atom. Its space group is P1.

---

No. 3
Below is an optimized crystal structure of BC, with properties calculated at the PBE level.

a = 4.952 Å, b = 4.952 Å, c = 4.952 Å
α = 29.71°, β = 29.71°, γ = 29.71°
Fractional coordinates of all 4 atoms:
B 0.891 0.891 0.891
B 0.484 0.484 0.484
C 0.373 0.373 0.373
C 0.002 0.002 0.002

Properties
The energy above the most stable polymorph in this dataset is 0.2486 eV per atom. Its density of states at the Fermi level is 1.44 states/eV per cell. Its formation energy is 399 meV/atom. Its space group is R-3m.